Entry 1:
A plane-wave DFT calculation with PBE was carried out for crystalline YGa2PtAu at its relaxed geometry.

a b c (Å): 4.2959 4.2959 10.5919
angles (deg): 90.00 90.00 90.00
Fractional positions:
Y1 0.0000 0.5000 0.2612
Y2 0.5000 0.0000 0.7388
Ga1 0.0000 0.5000 0.8578
Ga2 0.5000 0.5000 0.5000
Ga3 0.5000 0.0000 0.1422
Ga4 0.0000 0.0000 0.5000
Pt1 0.0000 0.5000 0.6287
Pt2 0.5000 0.0000 0.3713
Au1 0.0000 0.0000 0.0000
Au2 0.5000 0.5000 0.0000

The value obtained for the energy above the most stable polymorph in this dataset is 0 meV/atom. As for the spin magnetization: 0.02 μB per formula unit. The electronic total energy is -51.66 eV/cell.

Entry 2:
A plane-wave DFT calculation with PBE was carried out for crystalline PuGa2Au2 at its relaxed geometry.

a b c (Å): 4.3885 4.3885 10.6897
angles (deg): 90.00 90.00 90.00
Each line ends with the local moment (μB).
Fractional positions:
Pu1 0.0000 0.5000 0.2488  5.37
Pu2 0.5000 0.0000 0.7512  5.37
Ga1 0.0000 0.0000 0.5000  -0.01
Ga2 0.0000 0.5000 0.8670  0.00
Ga3 0.5000 0.5000 0.5000  -0.01
Ga4 0.5000 0.0000 0.1330  0.00
Au1 0.5000 0.0000 0.3664  0.00
Au2 0.5000 0.5000 0.0000  0.00
Au3 0.0000 0.5000 0.6336  0.00
Au4 0.0000 0.0000 0.0000  0.00

As for the spin magnetization: 5.64 μB per formula unit. The electronic total energy is -57.95 eV/cell.

Entry 3:
A plane-wave DFT calculation with PBE was carried out for crystalline RbGa2Au3 at its relaxed geometry.

a b c (Å): 13.6216 5.7345 7.1145
angles (deg): 90.00 90.00 90.00
Fractional positions:
Au1 0.7143 0.2500 0.1083
Au2 0.7098 0.2500 0.6993
Au3 0.7902 0.7500 0.1993
Au4 0.2143 0.2500 0.3917
Au5 0.2857 0.7500 0.8917
Au6 0.2902 0.7500 0.3007
Au7 0.7857 0.7500 0.6083
Au8 0.0053 0.2500 0.9199
Au9 0.4947 0.7500 0.4199
Au10 0.5053 0.2500 0.5801
Au11 0.9947 0.7500 0.0801
Au12 0.2098 0.2500 0.8007
Rb1 0.5744 0.7500 0.8982
Rb2 0.4256 0.2500 0.1018
Rb3 0.9256 0.2500 0.3982
Rb4 0.0744 0.7500 0.6018
Ga1 0.1536 0.4982 0.1047
Ga2 0.8464 0.9982 0.8953
Ga3 0.3464 0.5018 0.6047
Ga4 0.1536 0.0018 0.1047
Ga5 0.8464 0.5018 0.8953
Ga6 0.6536 0.0018 0.3953
Ga7 0.6536 0.4982 0.3953
Ga8 0.3464 0.9982 0.6047

The electronic total energy is -75.43 eV/cell.

Entry 4:
A plane-wave DFT calculation with PBE was carried out for crystalline RbTl3Ga3Au4 at its relaxed geometry.

a b c (Å): 8.3670 8.3670 4.3398
angles (deg): 90.00 90.00 120.00
Fractional positions:
Ga1 0.4604 0.9208 0.0000
Ga2 0.0792 0.5396 0.0000
Ga3 0.4604 0.5396 0.0000
Tl1 0.8073 0.6145 0.5000
Tl2 0.8073 0.1927 0.5000
Tl3 0.3855 0.1927 0.5000
Au1 0.6667 0.3333 0.0000
Au2 0.5687 0.7844 0.5000
Au3 0.2156 0.4313 0.5000
Au4 0.2156 0.7844 0.5000
Rb1 0.0000 0.0000 0.0000

The electronic total energy is -31.99 eV/cell.

Entry 5:
A plane-wave DFT calculation with PBE was carried out for crystalline RbTmGa4Au2 at its relaxed geometry.

a b c (Å): 6.8915 5.7980 5.7980
angles (deg): 47.30 90.00 90.00
Fractional positions:
Ga1 0.7983 0.8778 0.8778
Ga2 0.2017 0.8778 0.8778
Ga3 0.6883 0.1258 0.1258
Ga4 0.3117 0.1258 0.1258
Rb1 0.0000 0.5901 0.5901
Au1 0.0000 0.3021 0.3021
Au2 0.5000 0.7005 0.7005
Tm1 0.5000 0.4001 0.4001

As for the spin magnetization: 0.01 μB per formula unit. The electronic total energy is -26.39 eV/cell.

Entry 6:
A plane-wave DFT calculation with PBE was carried out for crystalline RbYGa4Au2 at its relaxed geometry.

a b c (Å): 6.8481 5.8316 5.8316
angles (deg): 47.29 90.00 90.00
Fractional positions:
Ga1 0.3002 0.1225 0.1225
Ga2 0.8115 0.8753 0.8753
Ga3 0.6998 0.1225 0.1225
Ga4 0.1885 0.8753 0.8753
Au1 0.0000 0.2991 0.2991
Au2 0.5000 0.6982 0.6982
Rb1 0.5000 0.4093 0.4093
Y1 0.0000 0.5978 0.5978

As for the spin magnetization: 0.00 μB per formula unit. The electronic total energy is -28.58 eV/cell.

Entry 7:
A plane-wave DFT calculation with PBE was carried out for crystalline Ga2Au2Se3S at its relaxed geometry.

a b c (Å): 6.9567 6.9567 5.8895
angles (deg): 114.12 114.12 50.37
Fractional positions:
S1 0.8471 0.1529 0.0000
Ga1 0.7564 0.4902 0.8764
Ga2 0.5098 0.2436 0.1236
Se1 0.6330 0.8667 0.2315
Se2 0.4014 0.5986 0.5000
Se3 0.1333 0.3670 0.7685
Au1 0.9921 0.7732 0.6492
Au2 0.2268 0.0079 0.3508

The electronic total energy is -29.89 eV/cell.

Entry 8:
A plane-wave DFT calculation with PBE was carried out for crystalline GaSb2Au at its relaxed geometry.

a b c (Å): 5.1018 5.1018 5.1018
angles (deg): 60.00 60.00 60.00
Fractional positions:
Sb1 0.2500 0.2500 0.2500
Sb2 0.0000 0.0000 0.0000
Ga1 0.7500 0.7500 0.7500
Au1 0.5000 0.5000 0.5000

The electronic total energy is -13.90 eV/cell.

Question: The highest electronic total energy belongs to which entry?
Answer: GaSb2Au

Question: Which of these has the highest electronic total energy?
Answer: GaSb2Au

Question: Which of these has the highest electronic total energy?
Answer: GaSb2Au

Question: Which of these has the highest electronic total energy?
Answer: GaSb2Au